DFT (PBE+U) results for an optimized crystal structure of Ni2TeIrO6.

Unit cell a=5.9087 b=5.9087 c=3.9142 alpha=90.00 beta=90.00 gamma=90.00
Last column: nearest neighbours and their distance in Å.
Fractional coordinates of all 10 atoms:
Ni (0.0000, 0.5000, 0.0000)  4 O 2.11
Ni (0.5000, 0.0000, 0.0000)  4 O 2.11
Te (0.0000, 0.0000, 0.8505)  6 O 1.91-2.14
Ir (0.5000, 0.5000, 0.8813)  6 O 1.94-2.07
O (0.0000, 0.0000, 0.3627)  2 Te 1.91-2.01
O (0.2532, 0.2532, 0.9236)  1 Ir 2.07, 2 Ni 2.11, 1 Te 2.14
O (0.2532, 0.7468, 0.9236)  1 Ir 2.07, 2 Ni 2.11, 1 Te 2.14
O (0.5000, 0.5000, 0.3869)  2 Ir 1.94-1.98
O (0.7468, 0.2532, 0.9236)  1 Ir 2.07, 2 Ni 2.11, 1 Te 2.14
O (0.7468, 0.7468, 0.9236)  1 Ir 2.07, 2 Ni 2.11, 1 Te 2.14

Computed properties:
final energy: -0.3773 Ry per atom